Compound: Lu2PaTl
Source: Alexandria
Functional: PBE-GGA
Structure: relaxed

space group = P4/mmm, No. 123
energy of formation from the pure elements = 0.071 eV per atom
M_tot = 0.00 μB/atom
E_tot = -5.15 eV/atom
excess energy over the best structure of this formula in the dataset = 141 meV per atom

Unit cell a=4.820 b=4.820 c=4.511 alpha=90.00 beta=90.00 gamma=90.00
Sites, in units of the cell vectors:
Lu 0.000 0.500 0.000
Lu 0.500 0.000 0.000
Pa 0.000 0.000 0.500
Tl 0.500 0.500 0.500



Compound: LuPaTl
Source: Alexandria
Functional: PBE-GGA
Structure: relaxed

space group = P3m1, No. 156
energy of formation from the pure elements = 0.245 eV per atom
M_tot = 0.47 μB/atom
E_tot = -5.22 eV/atom
excess energy over the best structure of this formula in the dataset = 182 meV per atom

Unit cell a=5.333 b=5.333 c=3.308 alpha=90.00 beta=90.00 gamma=120.00
Sites, in units of the cell vectors:
Lu 0.000 0.000 0.000
Pa 0.667 0.333 0.471
Tl 0.333 0.667 0.847



Compound: Lu2PaTl
Source: Alexandria
Functional: PBE-GGA
Structure: relaxed

space group = P4/mmm, No. 123
energy of formation from the pure elements = -0.069 eV per atom
M_tot = 0.08 μB/atom
E_tot = -5.30 eV/atom
excess energy over the best structure of this formula in the dataset = 0 meV per atom

Unit cell a=3.419 b=3.419 c=9.108 alpha=90.00 beta=90.00 gamma=90.00
Sites, in units of the cell vectors:
Lu 0.000 0.000 0.243
Lu 0.000 0.000 0.757
Pa 0.500 0.500 0.500
Tl 0.500 0.500 0.000



Compound: TmLuPa2
Source: Alexandria
Functional: PBE-GGA
Structure: relaxed

space group = Fm-3m, No. 225
energy of formation from the pure elements = 0.477 eV per atom
M_tot = 0.18 μB/atom
E_tot = -6.52 eV/atom

Unit cell a=7.600 b=7.600 c=7.600 alpha=90.00 beta=90.00 gamma=90.00
Sites, in units of the cell vectors:
Tm 0.000 0.000 0.000
Tm 0.000 0.500 0.500
Tm 0.500 0.000 0.500
Tm 0.500 0.500 0.000
Lu 0.000 0.000 0.500
Lu 0.000 0.500 0.000
Lu 0.500 0.000 0.000
Lu 0.500 0.500 0.500
Pa 0.250 0.250 0.250
Pa 0.250 0.250 0.750
Pa 0.250 0.750 0.250
Pa 0.250 0.750 0.750
Pa 0.750 0.250 0.250
Pa 0.750 0.250 0.750
Pa 0.750 0.750 0.250
Pa 0.750 0.750 0.750



Compound: TmLuZrPa
Source: Alexandria
Functional: PBE-GGA
Structure: relaxed

space group = F-43m, No. 216
energy of formation from the pure elements = 0.272 eV per atom
M_tot = 0.00 μB/atom
E_tot = -6.49 eV/atom

Unit cell a=7.521 b=7.521 c=7.521 alpha=90.00 beta=90.00 gamma=90.00
Sites, in units of the cell vectors:
Tm 0.000 0.000 0.000
Tm 0.000 0.500 0.500
Tm 0.500 0.000 0.500
Tm 0.500 0.500 0.000
Lu 0.250 0.250 0.750
Lu 0.250 0.750 0.250
Lu 0.750 0.250 0.250
Lu 0.750 0.750 0.750
Zr 0.000 0.000 0.500
Zr 0.000 0.500 0.000
Zr 0.500 0.000 0.000
Zr 0.500 0.500 0.500
Pa 0.250 0.250 0.250
Pa 0.250 0.750 0.750
Pa 0.750 0.250 0.750
Pa 0.750 0.750 0.250



Compound: LuU4Pa
Source: Alexandria
Functional: PBE-GGA
Structure: relaxed

space group = F-43m, No. 216
energy of formation from the pure elements = 0.216 eV per atom
M_tot = 0.41 μB/atom
E_tot = -9.65 eV/atom

Unit cell a=5.742 b=5.742 c=5.742 alpha=60.00 beta=60.00 gamma=60.00
Sites, in units of the cell vectors:
Lu 0.000 0.000 0.000
U 0.375 0.375 0.375
U 0.375 0.375 0.876
U 0.375 0.876 0.375
U 0.876 0.375 0.375
Pa 0.750 0.750 0.750



Question: Which formula does entry 6 have?
Answer: LuU4Pa



Question: What is the E_tot in the sixth record?
Answer: -9.65 eV/atom



Question: Which value of energy of formation from the pure elements does entry 1 give?
Answer: 0.071 eV per atom



Question: Which formula does entry 1 have?
Answer: Lu2PaTl